CeDyCl6: optimized geometry, GGA-PBE.

## Properties
E_form (uncorrected), kJ per mole of atoms: -213.6
Space group: No. 12
Crystal system: monoclinic

a b c (Å): 7.0024 7.0024 6.7980
angles (deg): 97.43 97.43 121.85
Site moments in Bohr magnetons follow the coordinates.
Sites, in units of the cell vectors:
Cl1 0.1173 0.4079 0.2575  -0.01
Ce1 0.0000 0.0000 0.0000  0.98
Cl2 0.2512 0.2512 0.7405  0.00
Cl3 0.4079 0.1173 0.2575  -0.01
Cl4 0.7488 0.7488 0.2595  0.00
Cl5 0.8827 0.5921 0.7425  -0.01
Cl6 0.5921 0.8827 0.7425  -0.01
Dy1 0.5000 0.5000 0.5000  0.00

CeDyCl2: optimized geometry, GGA-PBE.

## Properties
E_form (uncorrected), kJ per mole of atoms: -118.9
Space group: No. 166
Crystal system: trigonal

a b c (Å): 3.4862 3.4862 9.9856
angles (deg): 79.95 79.95 60.00
Site moments in Bohr magnetons follow the coordinates.
Sites, in units of the cell vectors:
Cl1 0.0997 0.0997 0.7010  0.00
Cl2 0.9003 0.9003 0.2990  0.00
Ce1 0.0000 0.0000 0.0000  1.23
Dy1 0.5000 0.5000 0.5000  0.01

CeDyCl: optimized geometry, GGA-PBE.

## Properties
E_form (uncorrected), kJ per mole of atoms: -86.2
ΔE to the lowest computed polymorph, meV per atom: 0
Space group: No. 12
Crystal system: monoclinic

a b c (Å): 3.5835 3.5835 16.1255
angles (deg): 78.20 78.20 58.96
Sites, in units of the cell vectors:
Ce1 0.3064 0.3064 0.0734
Dy1 0.6856 0.6856 0.4207
Cl1 0.4689 0.4689 0.7695
Dy2 0.0675 0.0675 0.8867
Ce2 0.4468 0.4468 0.2340
Cl2 0.2843 0.2843 0.5378

CeDyCl6: optimized geometry, GGA-PBE.

## Properties
E_form (uncorrected), kJ per mole of atoms: -213.6
Space group: No. 148
Crystal system: trigonal

a b c (Å): 6.8513 6.8519 7.4118
angles (deg): 62.48 62.47 60.00
Site moments in Bohr magnetons follow the coordinates.
Sites, in units of the cell vectors:
Cl1 0.7427 0.1094 0.7441  0.00
Cl2 0.2573 0.8906 0.2559  0.00
Dy1 0.5000 0.5000 0.5000  0.00
Cl3 0.5963 0.2572 0.2559  0.00
Cl4 0.4037 0.7428 0.7441  0.00
Cl5 0.1094 0.4037 0.7441  0.00
Cl6 0.8906 0.5963 0.2559  0.00
Ce1 0.0000 0.0000 0.0000  0.98

Ce2DyN2Cl2: optimized geometry, GGA-PBE.

## Properties
E_form (uncorrected), kJ per mole of atoms: -143.4
Space group: No. 139
Crystal system: tetragonal

a b c (Å): 4.5111 4.5111 8.0058
angles (deg): 106.36 106.36 90.00
Site moments in Bohr magnetons follow the coordinates.
Sites, in units of the cell vectors:
Dy1 0.0000 0.0000 0.0000  0.07
N1 0.0000 0.5000 0.0000  -0.05
Cl1 0.8106 0.8106 0.6211  0.00
Ce1 0.5987 0.5987 0.1973  1.27
N2 0.5000 0.0000 0.0000  -0.05
Ce2 0.4013 0.4013 0.8027  1.27
Cl2 0.1894 0.1894 0.3789  0.00

Na2CeDyCl8: optimized geometry, GGA-PBE.

## Properties
E_form (uncorrected), kJ per mole of atoms: -201.5
Space group: No. 10
Crystal system: monoclinic

a b c (Å): 6.6246 6.5034 8.4146
angles (deg): 90.00 90.00 93.43
Site moments in Bohr magnetons follow the coordinates.
Sites, in units of the cell vectors:
Cl1 0.8291 0.2012 0.2395  0.00
Cl2 0.3139 0.2855 0.5000  -0.01
Na1 0.5000 0.5000 0.2439  0.00
Cl3 0.6861 0.7145 0.5000  -0.01
Dy1 0.0000 0.0000 0.0000  0.00
Cl4 0.6965 0.7245 0.0000  0.00
Cl5 0.1709 0.7988 0.7605  0.00
Cl6 0.1709 0.7988 0.2395  0.00
Cl7 0.8291 0.2012 0.7605  0.00
Ce1 0.0000 0.0000 0.5000  0.98
Cl8 0.3035 0.2755 0.0000  0.00
Na2 0.5000 0.5000 0.7561  0.00

CeDyTe2Cl: optimized geometry, GGA-PBE.

## Properties
E_form (uncorrected), kJ per mole of atoms: -151.6
Space group: No. 129
Crystal system: tetragonal

a b c (Å): 4.3826 4.3826 15.0804
angles (deg): 90.00 90.00 90.00
Site moments in Bohr magnetons follow the coordinates.
Sites, in units of the cell vectors:
Dy1 0.0000 0.5000 0.9130  -0.01
Te1 0.5000 0.0000 0.8817  0.00
Cl1 0.5000 0.5000 0.5000  -0.01
Te2 0.0000 0.5000 0.7060  -0.02
Te3 0.5000 0.0000 0.2940  -0.02
Te4 0.0000 0.5000 0.1183  0.00
Ce1 0.0000 0.5000 0.3661  1.12
Cl2 0.0000 0.0000 0.5000  -0.01
Dy2 0.5000 0.0000 0.0870  -0.01
Ce2 0.5000 0.0000 0.6339  1.12

CeErCl3: optimized geometry, GGA-PBE.

## Properties
E_form (uncorrected), kJ per mole of atoms: -168.3
Space group: No. 12
Crystal system: monoclinic

a b c (Å): 3.8575 8.2922 9.9117
angles (deg): 72.01 78.78 76.55
Site moments in Bohr magnetons follow the coordinates.
Sites, in units of the cell vectors:
Cl1 0.7805 0.3273 0.1116  0.00
Cl2 0.6547 0.1967 0.4938  -0.01
Er1 0.5831 0.7890 0.0448  -0.07
Er2 0.4169 0.2110 0.9552  -0.07
Cl3 0.2195 0.6727 0.8884  0.00
Cl4 0.0496 0.6578 0.2429  0.00
Ce1 0.1415 0.0111 0.7058  0.96
Ce2 0.8585 0.9889 0.2942  0.96
Cl5 0.3453 0.8033 0.5062  -0.01
Cl6 0.9504 0.3422 0.7571  0.00

Ce2ErN2Cl2: optimized geometry, GGA-PBE.

## Properties
E_form (uncorrected), kJ per mole of atoms: -147.3
Space group: No. 139
Crystal system: tetragonal

a b c (Å): 4.4673 4.4673 8.0112
angles (deg): 106.19 106.19 90.00
Site moments in Bohr magnetons follow the coordinates.
Sites, in units of the cell vectors:
Ce1 0.4010 0.4010 0.8021  1.27
N1 0.5000 0.0000 0.0000  -0.05
Ce2 0.5990 0.5990 0.1979  1.27
Er1 0.0000 0.0000 0.0000  0.08
Cl1 0.8123 0.8123 0.6246  0.00
Cl2 0.1877 0.1877 0.3754  0.00
N2 0.0000 0.5000 0.0000  -0.05

CeErTe2Cl: optimized geometry, GGA-PBE.

## Properties
E_form (uncorrected), kJ per mole of atoms: -149.3
Space group: No. 129
Crystal system: tetragonal

a b c (Å): 4.3682 4.3682 15.0402
angles (deg): 90.00 90.00 90.00
Site moments in Bohr magnetons follow the coordinates.
Sites, in units of the cell vectors:
Ce1 0.5000 0.0000 0.6344  1.12
Cl1 0.5000 0.5000 0.5000  -0.01
Te1 0.0000 0.5000 0.7077  -0.02
Er1 0.5000 0.0000 0.0868  -0.01
Te2 0.0000 0.5000 0.1169  0.00
Te3 0.5000 0.0000 0.2923  -0.02
Ce2 0.0000 0.5000 0.3656  1.12
Te4 0.5000 0.0000 0.8831  0.00
Cl2 0.0000 0.0000 0.5000  -0.01
Er2 0.0000 0.5000 0.9132  -0.01

CeClF2: optimized geometry, GGA-PBE.

## Properties
E_form (uncorrected), kJ per mole of atoms: -323.2
ΔE to the lowest computed polymorph, meV per atom: 50
Space group: No. 160
Crystal system: trigonal

a b c (Å): 4.1226 4.1226 5.5991
angles (deg): 68.40 68.40 60.00
Site moments in Bohr magnetons follow the coordinates.
Sites, in units of the cell vectors:
F1 0.2993 0.2993 0.1020  -0.01
Cl1 0.4917 0.4917 0.5249  -0.01
Ce1 0.6817 0.6817 0.9548  0.97
F2 0.0272 0.0272 0.9184  -0.01

CeCl2F2: optimized geometry, GGA-PBE.

## Properties
E_form (uncorrected), kJ per mole of atoms: -258.1
ΔE to the lowest computed polymorph, meV per atom: 91
Space group: No. 12
Crystal system: monoclinic

a b c (Å): 6.8311 6.8311 7.0641
angles (deg): 89.77 89.76 119.40
Sites, in units of the cell vectors:
F1 0.7565 0.7565 0.9949
F2 0.0069 0.0069 0.7626
Cl1 0.5040 0.0087 0.7644
F3 0.9931 0.9931 0.2374
F4 0.2435 0.2435 0.0051
Cl2 0.9913 0.4960 0.2356
Cl3 0.0087 0.5040 0.7644
Ce1 0.1355 0.8645 0.0000
Ce2 0.8645 0.1355 0.0000
Cl4 0.4960 0.9913 0.2356

For reference, total magnetic moment by record: 1.00 1.86 0.00 1.00 2.96 1.00 2.40 1.91 2.96 2.43 1.00 0.00 Bohr magnetons per cell.